Pb3O5: optimized geometry, PBE.

- Formation energy without anion corrections: -685 kJ/mol of formula units
- SG: No. 64

Structure (extended XYZ):
```
64
Lattice="8.020 0.000 0.000 0.000 11.047 0.000 -4.010 0.000 11.492" Properties=species:S:1:pos:R:3 pbc="T T T"
Pb 2.005 8.285 6.021
Pb 2.005 2.762 5.471
Pb 2.005 2.762 9.663
Pb 0.000 5.489 7.709
Pb 4.010 0.035 7.709
Pb 4.010 5.524 0.000
Pb 6.015 2.762 1.849
Pb 0.000 11.013 3.783
Pb -2.005 2.762 9.663
Pb 2.005 8.285 9.643
Pb 4.010 5.558 3.783
Pb 0.000 10.981 7.506
Pb 2.005 8.285 1.829
Pb 0.000 5.457 3.986
Pb 4.010 5.590 7.506
Pb 6.015 8.285 1.829
Pb 6.015 2.762 5.471
Pb 4.010 0.000 0.000
Pb -2.005 8.285 9.643
Pb 0.000 5.524 0.000
Pb 2.005 2.762 1.849
Pb 0.000 0.000 0.000
Pb -2.005 8.285 6.021
Pb 4.010 0.067 3.986
O 2.204 6.904 7.922
O 5.652 9.852 4.595
O -2.368 4.329 6.897
O 4.010 4.672 9.469
O 6.290 4.163 0.209
O 1.806 4.143 3.570
O -1.806 9.666 7.922
O 0.000 9.848 1.735
O 0.000 1.796 1.745
O 1.730 4.163 0.209
O 0.000 4.325 9.757
O -2.204 6.904 7.922
O 0.000 7.320 9.747
O 0.000 9.200 5.881
O 6.378 6.718 4.595
O 1.642 6.718 4.595
O 1.730 9.687 11.283
O 4.010 7.370 5.881
O 4.010 1.199 9.757
O 4.010 10.195 2.023
O -1.642 1.195 6.897
O -1.730 9.687 11.283
O 2.280 1.360 0.209
O 4.010 6.723 1.735
O 1.806 9.666 7.922
O 2.280 6.884 11.283
O 4.010 3.728 1.745
O 2.368 4.329 6.897
O 0.000 0.852 9.469
O 6.214 4.143 3.570
O 2.368 9.852 4.595
O 1.642 1.195 6.897
O 5.740 1.360 0.209
O 5.816 1.381 3.570
O 4.010 1.847 5.611
O 0.000 6.375 2.023
O 4.010 9.251 9.747
O 0.000 3.677 5.611
O 2.204 1.381 3.570
O -2.280 6.884 11.283
```

---

PbO2: optimized geometry, PBE.

- Formation energy without anion corrections: -218 kJ/mol of formula units
- SG: No. 11

Structure (extended XYZ):
```
18
Lattice="5.766 0.000 0.000 0.000 7.522 0.512 0.000 3.909 8.924" Properties=species:S:1:pos:R:3 pbc="T T T"
Pb 4.325 2.586 5.594
Pb 1.442 8.845 3.842
Pb 4.325 4.487 2.309
Pb 1.442 6.943 7.127
Pb 4.325 6.592 5.033
Pb 1.442 4.839 4.403
O 2.813 5.373 6.102
O 2.953 6.057 3.334
O 0.070 5.373 6.102
O 5.696 6.057 3.334
O 4.325 4.617 8.928
O 1.442 6.814 0.508
O 4.325 1.256 1.114
O 1.442 10.174 8.322
O 0.009 3.245 3.808
O 5.757 8.186 5.628
O 2.874 3.245 3.808
O 2.892 8.186 5.628
```

---

PbO: optimized geometry, PBE.

- Formation energy without anion corrections: -213 kJ/mol of formula units
- SG: No. 29

Structure (extended XYZ):
```
8
Lattice="5.158 0.000 0.000 0.000 5.689 0.000 0.000 0.000 6.204" Properties=species:S:1:pos:R:3 pbc="T T T"
Pb 1.397 5.567 4.442
Pb 3.976 0.122 1.761
Pb 1.397 2.722 1.761
Pb 3.976 2.966 4.442
O 4.377 5.131 3.876
O 1.798 0.558 2.328
O 4.377 2.287 2.328
O 1.798 3.402 3.876
```

---

Pb2O3: optimized geometry, PBE.

- Formation energy without anion corrections: -471 kJ/mol of formula units
- SG: No. 14

Structure (extended XYZ):
```
20
Lattice="-0.345 0.993 5.665 -4.904 -5.885 0.733 3.686 -6.911 1.436" Properties=species:S:1:pos:R:3 pbc="T T T"
Pb 2.567 -5.882 5.607
Pb -2.289 -9.368 2.993
Pb -4.130 -5.921 2.227
Pb 0.727 -2.435 4.842
Pb -0.136 -8.748 5.884
Pb 0.421 -6.523 2.598
Pb -1.427 -3.055 1.950
Pb -1.983 -5.280 5.236
O 0.693 -6.644 4.890
O -0.329 -8.856 2.286
O -2.256 -5.159 2.944
O -1.234 -2.947 5.548
O -4.095 -4.214 5.812
O 0.580 -3.820 3.098
O 2.533 -7.590 2.022
O -2.143 -7.984 4.737
O -1.554 -10.998 4.376
O 1.707 -3.895 6.260
O -0.009 -0.805 3.458
O -3.270 -7.908 1.575
```

---

PbO4: optimized geometry, PBE.

- Formation energy without anion corrections: 333 kJ/mol of formula units
- SG: No. 221

Structure (extended XYZ):
```
5
Lattice="4.300 0.000 0.000 0.000 4.300 0.000 0.000 0.000 4.300" Properties=species:S:1:pos:R:3 pbc="T T T"
Pb 2.150 2.150 2.150
O 0.000 0.000 0.000
O 2.150 0.000 2.150
O 0.000 2.150 2.150
O 2.150 2.150 0.000
```

---

Pb2O3: optimized geometry, PBE.

- Formation energy without anion corrections: -433 kJ/mol of formula units
- SG: No. 31

Structure (extended XYZ):
```
10
Lattice="-1.073 2.664 2.122 -3.264 -3.688 2.981 5.700 -1.348 4.573" Properties=species:S:1:pos:R:3 pbc="T T T"
Pb -2.143 -1.267 3.512
Pb 1.196 0.280 3.258
Pb 1.395 -3.203 4.726
Pb 4.578 -1.832 4.614
O -2.211 -3.580 3.377
O -0.548 -1.763 1.936
O -0.525 -1.837 5.046
O 2.686 -1.571 3.330
O 1.309 -3.227 7.718
O 3.001 -1.377 6.251
```

---

PbO: optimized geometry, PBE.

- Formation energy without anion corrections: -166 kJ/mol of formula units
- SG: No. 223

Structure (extended XYZ):
```
12
Lattice="-1.574 -1.126 -6.674 -6.534 -1.536 1.800 -1.767 6.683 -0.711" Properties=species:S:1:pos:R:3 pbc="T T T"
Pb -1.277 3.060 -2.024
Pb -2.064 2.497 -5.361
Pb -3.709 0.903 0.722
Pb -4.592 4.244 0.366
Pb -2.420 -0.947 -2.887
Pb -5.687 -1.715 -1.987
O -3.660 -1.050 -0.769
O -4.447 -1.613 -4.106
O -1.229 1.107 -3.515
O -2.112 4.449 -3.871
O -2.517 2.957 0.094
O -5.784 2.189 0.994
```

---

PbO2: optimized geometry, PBE.

- Formation energy without anion corrections: -210 kJ/mol of formula units
- SG: No. 225

Structure (extended XYZ):
```
3
Lattice="-2.172 -2.640 -1.707 -2.032 -2.456 2.108 -3.809 0.286 0.126" Properties=species:S:1:pos:R:3 pbc="T T T"
O -6.010 -3.608 0.395
O -2.003 -1.203 0.132
Pb 0.000 0.000 0.000
```

---

Values for magnetic moment, μB per cell, ordered as above
0.0 4.0 0.0 0.0 4.1 0.0 0.0 0.0